Record 1
# TlReW2 (GGA-PBEsol, optimized geometry)
# * energy above the lowest structure with this stoichiometry: 0.0 meV/atom
# * final energy: -10.26 eV/atom
data_TlReW2
_chemical_formula_sum 'Tl1 Re1 W2'
_symmetry_space_group_name_H-M 'P 1'
_symmetry_Int_Tables_number 1
_cell_length_a 2.8101
_cell_length_b 2.8101
_cell_length_c 9.2880
_cell_angle_alpha 90.00
_cell_angle_beta 90.00
_cell_angle_gamma 112.40
loop_
_symmetry_equiv_pos_as_xyz
'x,y,z'
loop_
_atom_site_label
_atom_site_type_symbol
_atom_site_fract_x
_atom_site_fract_y
_atom_site_fract_z
Re1 Re 0.5000 0.5000 0.5000
Tl1 Tl 0.5000 0.5000 0.0000
W1 W 0.0000 0.0000 0.2709
W2 W 0.0000 0.0000 0.7291

Record 2
# Tl3ReW (GGA-PBEsol, optimized geometry)
# * final energy: -4.89 eV/atom
data_Tl3ReW
_chemical_formula_sum 'Tl3 Re1 W1'
_symmetry_space_group_name_H-M 'P 1'
_symmetry_Int_Tables_number 1
_cell_length_a 5.2615
_cell_length_b 5.2615
_cell_length_c 5.2615
_cell_angle_alpha 90.00
_cell_angle_beta 90.00
_cell_angle_gamma 90.00
loop_
_symmetry_equiv_pos_as_xyz
'x,y,z'
loop_
_atom_site_label
_atom_site_type_symbol
_atom_site_fract_x
_atom_site_fract_y
_atom_site_fract_z
Re1 Re 0.5000 0.5000 0.5000
Tl1 Tl 0.0000 0.5000 0.0000
Tl2 Tl 0.0000 0.0000 0.5000
Tl3 Tl 0.5000 0.0000 0.0000
W1 W 0.0000 0.0000 0.0000

Record 3
# YTlRe2 (GGA-PBEsol, optimized geometry)
# * energy above the lowest structure with this stoichiometry: 239.7 meV/atom
# * final energy: -8.29 eV/atom
data_YTlRe2
_chemical_formula_sum 'Y1 Tl1 Re2'
_symmetry_space_group_name_H-M 'P 1'
_symmetry_Int_Tables_number 1
_cell_length_a 4.0324
_cell_length_b 4.0324
_cell_length_c 5.4108
_cell_angle_alpha 111.88
_cell_angle_beta 111.88
_cell_angle_gamma 90.00
loop_
_symmetry_equiv_pos_as_xyz
'x,y,z'
loop_
_atom_site_label
_atom_site_type_symbol
_atom_site_fract_x
_atom_site_fract_y
_atom_site_fract_z
Re1 Re 0.7500 0.2500 0.5000
Re2 Re 0.2500 0.7500 0.5000
Tl1 Tl 0.5000 0.5000 0.0000
Y1 Y 0.0000 0.0000 0.0000

Record 4
# YTlRe2 (GGA-PBEsol, optimized geometry)
# * energy above the lowest structure with this stoichiometry: 0.0 meV/atom
# * final energy: -8.53 eV/atom
data_YTlRe2
_chemical_formula_sum 'Y1 Tl1 Re2'
_symmetry_space_group_name_H-M 'P 1'
_symmetry_Int_Tables_number 1
_cell_length_a 2.9922
_cell_length_b 2.9922
_cell_length_c 9.8680
_cell_angle_alpha 81.28
_cell_angle_beta 81.28
_cell_angle_gamma 60.00
loop_
_symmetry_equiv_pos_as_xyz
'x,y,z'
loop_
_atom_site_label
_atom_site_type_symbol
_atom_site_fract_x
_atom_site_fract_y
_atom_site_fract_z
Re1 Re 0.0085 0.0085 0.9744
Re2 Re 0.7421 0.7421 0.7737
Tl1 Tl 0.4932 0.4932 0.5203
Y1 Y 0.2561 0.2561 0.2316

Record 5
# Y2TlRe (GGA-PBEsol, optimized geometry)
# * final energy: -7.37 eV/atom
data_Y2TlRe
_chemical_formula_sum 'Y2 Tl1 Re1'
_symmetry_space_group_name_H-M 'P 1'
_symmetry_Int_Tables_number 1
_cell_length_a 5.0092
_cell_length_b 5.0092
_cell_length_c 5.0092
_cell_angle_alpha 60.00
_cell_angle_beta 60.00
_cell_angle_gamma 60.00
loop_
_symmetry_equiv_pos_as_xyz
'x,y,z'
loop_
_atom_site_label
_atom_site_type_symbol
_atom_site_fract_x
_atom_site_fract_y
_atom_site_fract_z
Re1 Re 0.0000 0.0000 0.0000
Tl1 Tl 0.5000 0.5000 0.5000
Y1 Y 0.2500 0.2500 0.2500
Y2 Y 0.7500 0.7500 0.7500

Record 6
# Tl2ZnRe (GGA-PBEsol, optimized geometry)
# * energy above the lowest structure with this stoichiometry: 184.0 meV/atom
# * final energy: -4.02 eV/atom
data_Tl2ZnRe
_chemical_formula_sum 'Tl2 Zn1 Re1'
_symmetry_space_group_name_H-M 'P 1'
_symmetry_Int_Tables_number 1
_cell_length_a 4.7457
_cell_length_b 4.7457
_cell_length_c 4.7457
_cell_angle_alpha 60.00
_cell_angle_beta 60.00
_cell_angle_gamma 60.00
loop_
_symmetry_equiv_pos_as_xyz
'x,y,z'
loop_
_atom_site_label
_atom_site_type_symbol
_atom_site_fract_x
_atom_site_fract_y
_atom_site_fract_z
Re1 Re 0.0000 0.0000 0.0000
Tl1 Tl 0.2500 0.2500 0.2500
Tl2 Tl 0.7500 0.7500 0.7500
Zn1 Zn 0.5000 0.5000 0.5000

Record 7
# Tl2ZnRe (GGA-PBEsol, optimized geometry)
# * energy above the lowest structure with this stoichiometry: 0.0 meV/atom
# * final energy: -4.20 eV/atom
data_Tl2ZnRe
_chemical_formula_sum 'Tl2 Zn1 Re1'
_symmetry_space_group_name_H-M 'P 1'
_symmetry_Int_Tables_number 1
_cell_length_a 4.1265
_cell_length_b 4.1265
_cell_length_c 5.2206
_cell_angle_alpha 113.28
_cell_angle_beta 113.28
_cell_angle_gamma 90.00
loop_
_symmetry_equiv_pos_as_xyz
'x,y,z'
loop_
_atom_site_label
_atom_site_type_symbol
_atom_site_fract_x
_atom_site_fract_y
_atom_site_fract_z
Re1 Re 0.0000 0.0000 0.0000
Tl1 Tl 0.7500 0.2500 0.5000
Tl2 Tl 0.2500 0.7500 0.5000
Zn1 Zn 0.5000 0.5000 0.0000

Record 8
# ZrTl2Re (GGA-PBEsol, optimized geometry)
# * final energy: -6.25 eV/atom
data_ZrTl2Re
_chemical_formula_sum 'Zr1 Tl2 Re1'
_symmetry_space_group_name_H-M 'P 1'
_symmetry_Int_Tables_number 1
_cell_length_a 4.8520
_cell_length_b 4.8520
_cell_length_c 4.8520
_cell_angle_alpha 60.00
_cell_angle_beta 60.00
_cell_angle_gamma 60.00
loop_
_symmetry_equiv_pos_as_xyz
'x,y,z'
loop_
_atom_site_label
_atom_site_type_symbol
_atom_site_fract_x
_atom_site_fract_y
_atom_site_fract_z
Re1 Re 0.5000 0.5000 0.5000
Tl1 Tl 0.0000 0.0000 0.0000
Tl2 Tl 0.2500 0.2500 0.2500
Zr1 Zr 0.7500 0.7500 0.7500

final energy of number 6 (Tl2ZnRe)?
-4.02 eV/atom